Entry from OQMD: a relaxed structure of LiCoTcAs (PBE-GGA).

Computed properties:
Mass density, Mg/m³: 7.7
Uncorrected energy, Ry/atom: -0.431
Energy relative to the lowest polymorph listed for this composition, meV/atom: 191

Cell lengths 4.1786, 4.1786, 4.1786 Å; angles 60.00, 60.00, 60.00 degrees
Last column: nearest neighbours and their distance in Å.
Fractional positions:
Li (0.0000, 0.0000, 0.0000)  4 Tc 2.56, 4 As 2.56
Co (0.5000, 0.5000, 0.5000)  4 Tc 2.56, 4 As 2.56
Tc (0.7500, 0.7500, 0.7500)  4 Co 2.56, 4 Li 2.56
As (0.2500, 0.2500, 0.2500)  4 Co 2.56, 4 Li 2.56

***

Entry from OQMD: a relaxed structure of AcGePd3 (PBE-GGA).

Computed properties:
Mass density, Mg/m³: 10.0
Uncorrected energy, Ry/atom: -0.415

Cell lengths 6.1831, 6.1831, 6.0697 Å; angles 90.00, 90.00, 117.58 degrees
Last column: nearest neighbours and their distance in Å.
Fractional positions:
Ac (0.2448, 0.7552, 0.7500)  12 Pd 3.14-3.49, 2 Ge 3.46
Ac (0.7552, 0.2448, 0.2500)  12 Pd 3.14-3.49, 2 Ge 3.46
Ge (0.0885, 0.9115, 0.2500)  5 Pd 2.46-2.52
Ge (0.9115, 0.0885, 0.7500)  5 Pd 2.46-2.52
Pd (0.2778, 0.2778, 0.0000)  2 Ge 2.52, 2 Pd 2.81
Pd (0.2778, 0.2778, 0.5000)  2 Ge 2.52, 2 Pd 2.81
Pd (0.3211, 0.6789, 0.2500)  1 Ge 2.46
Pd (0.6789, 0.3211, 0.7500)  1 Ge 2.46
Pd (0.7222, 0.7222, 0.0000)  2 Ge 2.52, 2 Pd 2.81
Pd (0.7222, 0.7222, 0.5000)  2 Ge 2.52, 2 Pd 2.81

***

Entry from OQMD: a relaxed structure of LiErGe (PBE-GGA).

Computed properties:
Mass density, Mg/m³: 7.0
Uncorrected energy, Ry/atom: -0.322
Energy relative to the lowest polymorph listed for this composition, meV/atom: 33

Cell lengths 4.3720, 4.3720, 7.0475 Å; angles 90.00, 90.00, 120.00 degrees
Last column: nearest neighbours and their distance in Å.
Fractional positions:
Li (0.3333, 0.6667, 0.0000)  3 Ge 2.54
Li (0.6667, 0.3333, 0.5000)  3 Ge 2.54
Er (0.0000, 0.0000, 0.2256)  6 Li 2.98-3.18, 6 Ge 3.00-3.16
Er (0.0000, 0.0000, 0.7256)  6 Li 2.98-3.18, 6 Ge 3.00-3.16
Ge (0.3333, 0.6667, 0.4553)  3 Li 2.54
Ge (0.6667, 0.3333, 0.9553)  3 Li 2.54

***

Entry from OQMD: a relaxed structure of MgCuPbAu (PBE-GGA).

Computed properties:
Mass density, Mg/m³: 10.3
Uncorrected energy, Ry/atom: -0.227
Energy relative to the lowest polymorph listed for this composition, meV/atom: 0

Cell lengths 4.8219, 4.8219, 4.8219 Å; angles 60.00, 60.00, 60.00 degrees
Last column: nearest neighbours and their distance in Å.
Fractional positions:
Mg (0.0000, 0.0000, 0.0000)  4 Cu 2.95, 4 Au 2.95
Cu (0.7500, 0.7500, 0.7500)  4 Pb 2.95, 4 Mg 2.95
Pb (0.5000, 0.5000, 0.5000)  4 Cu 2.95, 4 Au 2.95
Au (0.2500, 0.2500, 0.2500)  4 Pb 2.95, 4 Mg 2.95

***

Entry from OQMD: a relaxed structure of SmHoZnTe3 (PBE-GGA).

Computed properties:
Mass density, Mg/m³: 7.6
Uncorrected energy, Ry/atom: -0.316

Cell lengths 7.8658, 7.8658, 10.5587 Å; angles 90.00, 90.00, 149.25 degrees
Last column: nearest neighbours and their distance in Å.
Fractional positions:
Sm (0.2244, 0.7756, 0.7500)  6 Te 3.19-3.22
Sm (0.7756, 0.2244, 0.2500)  6 Te 3.19-3.22
Ho (0.0000, 0.0000, 0.0000)  6 Te 3.12-3.16, 4 Zn 3.38
Ho (0.0000, 0.0000, 0.5000)  6 Te 3.12-3.16, 4 Zn 3.38
Zn (0.4766, 0.5234, 0.2500)  4 Te 2.87-2.95
Zn (0.5234, 0.4766, 0.7500)  4 Te 2.87-2.95
Te (0.1141, 0.8859, 0.2500)  2 Zn 2.95, 2 Ho 3.16, 2 Sm 3.22
Te (0.3504, 0.6496, 0.0477)  1 Zn 2.87, 2 Ho 3.12, 2 Sm 3.19
Te (0.3504, 0.6496, 0.4523)  1 Zn 2.87, 2 Ho 3.12, 2 Sm 3.19
Te (0.6496, 0.3504, 0.5477)  1 Zn 2.87, 2 Ho 3.12, 2 Sm 3.19
Te (0.6496, 0.3504, 0.9523)  1 Zn 2.87, 2 Ho 3.12, 2 Sm 3.19
Te (0.8859, 0.1141, 0.7500)  2 Zn 2.95, 2 Ho 3.16, 2 Sm 3.22

***

Entry from OQMD: a relaxed structure of TmTlFeTe3 (PBE-GGA).

Computed properties:
Mass density, Mg/m³: 7.1
Uncorrected energy, Ry/atom: -0.346
Energy relative to the lowest polymorph listed for this composition, meV/atom: 22

Cell lengths 11.2562, 4.2773, 15.6769 Å; angles 90.00, 90.00, 90.00 degrees
Last column: nearest neighbours and their distance in Å.
Fractional positions:
Tm (0.0108, 0.2500, 0.2480)  6 Te 3.03-3.05
Tm (0.4892, 0.7500, 0.7480)  6 Te 3.03-3.05
Tm (0.5108, 0.2500, 0.2520)  6 Te 3.03-3.05
Tm (0.9892, 0.7500, 0.7520)  6 Te 3.03-3.05
Tl (0.2346, 0.7500, 0.5048)  7 Te 3.48-3.79
Tl (0.2654, 0.2500, 0.0048)  7 Te 3.48-3.79
Tl (0.7346, 0.7500, 0.9952)  7 Te 3.48-3.79
Tl (0.7654, 0.2500, 0.4952)  7 Te 3.48-3.79
Fe (0.2424, 0.2500, 0.7183)  4 Te 2.62-2.69
Fe (0.2576, 0.7500, 0.2183)  4 Te 2.62-2.69
Fe (0.7424, 0.2500, 0.7817)  4 Te 2.62-2.69
Fe (0.7576, 0.7500, 0.2817)  4 Te 2.62-2.69
Te (0.0526, 0.2500, 0.6209)  1 Fe 2.63
Te (0.0727, 0.7500, 0.1171)  1 Fe 2.62
Te (0.2404, 0.7500, 0.8222)  2 Fe 2.69
Te (0.2596, 0.2500, 0.3222)  2 Fe 2.69
Te (0.4273, 0.2500, 0.6171)  1 Fe 2.62
Te (0.4474, 0.7500, 0.1209)  1 Fe 2.63
Te (0.5526, 0.2500, 0.8791)  1 Fe 2.63
Te (0.5727, 0.7500, 0.3829)  1 Fe 2.62
Te (0.7404, 0.7500, 0.6778)  2 Fe 2.69
Te (0.7596, 0.2500, 0.1778)  2 Fe 2.69
Te (0.9273, 0.2500, 0.8829)  1 Fe 2.62
Te (0.9474, 0.7500, 0.3791)  1 Fe 2.63

***

Entry from OQMD: a relaxed structure of Tb2HoBi3 (PBE-GGA).

Computed properties:
Mass density, Mg/m³: 9.7
Uncorrected energy, Ry/atom: -0.383

Cell lengths 4.4665, 4.4665, 10.9560 Å; angles 90.00, 90.00, 120.00 degrees
Last column: nearest neighbours and their distance in Å.
Fractional positions:
Tb (0.3333, 0.6667, 0.3332)  6 Bi 3.16-3.17
Tb (0.6667, 0.3333, 0.6668)  6 Bi 3.16-3.17
Ho (0.0000, 0.0000, 0.0000)  6 Bi 3.15
Bi (0.0000, 0.0000, 0.5000)  6 Tb 3.16
Bi (0.3333, 0.6667, 0.8348)  3 Ho 3.15, 3 Tb 3.17
Bi (0.6667, 0.3333, 0.1652)  3 Ho 3.15, 3 Tb 3.17

***

Entry from OQMD: a relaxed structure of SrGdAuSe2S (PBE-GGA).

Computed properties:
Mass density, Mg/m³: 7.0
Uncorrected energy, Ry/atom: -0.364

Cell lengths 7.1645, 7.1645, 10.4796 Å; angles 90.00, 90.00, 146.34 degrees
Last column: nearest neighbours and their distance in Å.
Fractional positions:
Sr (0.2436, 0.7564, 0.7500)  2 S 3.02, 4 Se 3.28
Sr (0.7564, 0.2436, 0.2500)  2 S 3.02, 4 Se 3.28
Gd (0.5000, 0.5000, 0.0000)  2 S 2.86, 4 Se 2.95
Gd (0.5000, 0.5000, 0.5000)  2 S 2.86, 4 Se 2.95
Au (0.0285, 0.9715, 0.2500)  2 S 2.58, 2 Se 2.61
Au (0.9715, 0.0285, 0.7500)  2 S 2.58, 2 Se 2.61
Se (0.1466, 0.8534, 0.0548)  1 Au 2.61
Se (0.1466, 0.8534, 0.4452)  1 Au 2.61
Se (0.8534, 0.1466, 0.5548)  1 Au 2.61
Se (0.8534, 0.1466, 0.9452)  1 Au 2.61
S (0.4166, 0.5834, 0.2500)  2 Au 2.58, 2 Gd 2.86
S (0.5834, 0.4166, 0.7500)  2 Au 2.58, 2 Gd 2.86